An optimized crystal structure of TbMgH6Ir2, computed with PBE.

Cell: 5.8174 5.8174 5.8174 Å, 46.32 46.32 46.32°
Sites, in units of the cell vectors:
Tb 0.0000 0.0000 0.0000
Mg 0.5000 0.5000 0.5000
H 0.0555 0.5607 0.5607
H 0.4393 0.4393 0.9445
H 0.4393 0.9445 0.4393
H 0.5607 0.0555 0.5607
H 0.5607 0.5607 0.0555
H 0.9445 0.4393 0.4393
Ir 0.2094 0.2094 0.2094
Ir 0.7906 0.7906 0.7906

energy = -4.814 eV per atom
symmetry = No. 166
N(E_F) = 2.67 states/eV per cell